7
Lattice="4.156 0.000 0.000 0.000 4.156 0.000 0.000 0.000 6.274" Properties=species:S:1:pos:R:3 comment="LiNpRh5, relaxed, DFT PBE" delta_e_f_ev_per_atom=-0.11 vol_a3_per_cell=108 pbc="T T T"
Li 0.000 0.000 0.000
Np 2.078 2.078 3.137
Rh 0.000 0.000 3.137
Rh 0.000 2.078 1.354
Rh 0.000 2.078 4.919
Rh 2.078 0.000 1.354
Rh 2.078 0.000 4.919